(1)
Entry from OQMD via LeMat-Bulk: crystalline Sc4AlCoN2 at its relaxed geometry (GGA-PBE).

Geometry as POSCAR:
```
Sc4AlCoN2
1.0
3.1807 0.0000 0.0000
-1.5903 2.7546 0.0000
0.0000 0.0000 13.7569
Al Co N Sc
1 1 2 4
Cartesian
1.5903 0.9182 6.8784
0.0000 0.0000 0.0000
0.0000 1.8364 3.2895
0.0000 1.8364 10.4674
1.5903 0.9182 1.9182
0.0000 0.0000 4.4555
0.0000 0.0000 9.3013
1.5903 0.9182 11.8387
```

Total magnetic moment   0.00 μB/atom
Uncorrected energy   -7.60 eV per atom
Energy above the lowest structure with this stoichiometry   0.0000 eV/atom

***

(2)
Entry from OQMD via LeMat-Bulk: crystalline Ta4AlCoN2 at its relaxed geometry (GGA-PBE).

Geometry as POSCAR:
```
Ta4AlCoN2
1.0
-0.9901 1.5276 2.4685
-0.7818 -2.9386 -0.4005
10.8727 -3.8084 6.7179
Al Co N Ta
1 1 2 4
Cartesian
0.0000 0.0000 0.0000
4.5157 -1.8653 4.8711
1.9965 -2.4474 2.3154
7.1736 -4.2608 5.5142
0.8933 -0.5965 2.6330
3.8666 -1.3544 2.3891
7.0061 -2.4540 4.3289
8.1380 -3.1341 7.1093
```

Total magnetic moment   0.04 μB/atom
Uncorrected energy   -9.91 eV per atom

***

(3)
Entry from OQMD via LeMat-Bulk: crystalline AlCoW4N2 at its relaxed geometry (GGA-PBE).

Geometry as POSCAR:
```
AlCoW4N2
1.0
-0.2897 2.7985 0.0186
-1.8825 -1.6002 -1.3460
-7.9595 -0.9049 12.2074
Al Co N W
1 1 2 4
Cartesian
0.0000 0.0000 0.0000
-4.8003 0.8798 5.6674
-3.3696 -0.3634 2.2040
-7.2929 -0.8095 8.2212
-2.0577 1.1916 1.4610
-2.8319 -0.3220 4.3433
-5.1276 -0.5830 7.8642
-7.5430 0.5680 9.8739
```

Total magnetic moment   0.14 μB/atom
Uncorrected energy   -9.83 eV per atom

***

(4)
Entry from OQMD via LeMat-Bulk: crystalline Zr4AlCoN2 at its relaxed geometry (GGA-PBE).

Geometry as POSCAR:
```
Zr4AlCoN2
1.0
-2.0151 -2.4793 0.5163
1.5780 0.2436 -2.8151
10.3660 -7.3478 5.1748
Al Co N Zr
1 1 2 4
Cartesian
0.0000 0.0000 0.0000
4.3656 -5.2456 1.9932
3.0980 -2.5905 -0.3479
8.0286 -6.0854 2.1134
0.9253 -2.8070 0.2758
3.7299 -2.6439 1.8620
6.6361 -4.7039 3.3128
7.8059 -7.6841 3.7106
```

Total magnetic moment   0.03 μB/atom
Uncorrected energy   -8.64 eV per atom

***

(5)
Entry from OQMD via LeMat-Bulk: crystalline NaTaAlCo at its relaxed geometry (GGA-PBE).

Geometry as POSCAR:
```
NaTaAlCo
1.0
0.0000 3.1571 3.1571
3.1571 0.0000 3.1571
3.1571 3.1571 0.0000
Al Co Na Ta
1 1 1 1
Cartesian
3.1571 3.1571 3.1571
0.0000 0.0000 0.0000
4.7356 4.7356 4.7356
1.5785 1.5785 1.5785
```

Total magnetic moment   0.01 μB/atom
Uncorrected energy   -5.57 eV per atom
Energy above the lowest structure with this stoichiometry   0.1627 eV/atom

***

(6)
Entry from OQMD via LeMat-Bulk: crystalline NaTaAlCo at its relaxed geometry (GGA-PBE).

Geometry as POSCAR:
```
NaTaAlCo
1.0
0.0000 3.0849 3.0849
3.0849 0.0000 3.0849
3.0849 3.0849 0.0000
Al Co Na Ta
1 1 1 1
Cartesian
0.0000 0.0000 0.0000
1.5424 1.5424 1.5424
4.6273 4.6273 4.6273
3.0849 3.0849 3.0849
```

Total magnetic moment   0.00 μB/atom
Uncorrected energy   -5.73 eV per atom
Energy above the lowest structure with this stoichiometry   0.0000 eV/atom